1.
Computed, not measured: CaMnSe2 after structural relaxation at the PBE level of DFT.

a b c (Å): 4.0153 6.9111 7.4351
angles (deg): 90.00 90.00 90.00
With the nearest neighbours (Å) after each atom.
Space group Cmmm (No. 65)
Asymmetric unit:
Ca (0.0000, 0.0000, 0.0000) x2  4 Se 2.83
Mn (0.0000, 0.0000, 0.5000) x2  4 Se 2.64
Se (0.0000, 0.5000, 0.2689) x4  2 Mn 2.64, 2 Ca 2.83

Results
ΔE to the lowest computed polymorph, meV per atom: 325.6
Calculated total energy, eV/atom: -5.3715


2.
Computed, not measured: Ca2MnSe after structural relaxation at the PBE level of DFT.

a b c (Å): 4.2096 4.2096 6.1531
angles (deg): 90.00 90.00 90.00
With the nearest neighbours (Å) after each atom.
Space group P4mm (No. 99)
Asymmetric unit:
Ca (0.0000, 0.0000, 0.0000) x1  4 Se 3.03, 2 Mn 3.05-3.11
Ca (0.5000, 0.5000, 0.4027) x1  4 Mn 3.04, 2 Se 3.06-3.09
Mn (0.0000, 0.0000, 0.5048) x1  6 Ca 3.04-3.11
Se (0.5000, 0.5000, 0.9048) x1  6 Ca 3.03-3.09

Results
Calculated total energy, eV/atom: -4.5266


3.
Computed, not measured: Ca3Sm3MnSe8 after structural relaxation at the PBE level of DFT.

a b c (Å): 8.2810 8.2810 20.6020
angles (deg): 90.00 90.00 120.00
With the nearest neighbours (Å) after each atom.
Space group R-3m (No. 166, hexagonal axes)
Asymmetric unit:
Ca (0.0000, 0.5000, 0.0000) x9  6 Se 2.94-2.96
Sm (0.0000, 0.5000, 0.5000) x9  6 Se 2.93-2.95
Mn (0.0000, 0.0000, 0.5000) x3  6 Se 2.81
Se (0.0000, 0.0000, 0.2502) x6  3 Ca 2.94, 3 Sm 2.95
Se (0.0139, 0.5069, 0.2453) x18  1 Mn 2.81, 2 Sm 2.93, 2 Ca 2.96

Results
Calculated total energy, eV/atom: -5.5196


4.
Computed, not measured: Ca2TbMnSe4 after structural relaxation at the PBE level of DFT.

a b c (Å): 7.0650 4.0897 7.1461
angles (deg): 90.00 109.79 90.00
With the nearest neighbours (Å) after each atom.
Space group P2/m (No. 10)
Asymmetric unit:
Ca (0.0000, 0.0000, 0.0000) x1  6 Se 2.97-2.99
Ca (0.5000, 0.5000, 0.0000) x1  6 Se 2.90-2.93
Tb (0.0000, 0.5000, 0.5000) x1  6 Se 2.88-2.89
Mn (0.5000, 0.0000, 0.5000) x1  6 Se 2.79-2.85
Se (0.2528, 0.0000, 0.7427) x2  1 Mn 2.85, 2 Tb 2.88, 3 Ca 2.90-2.97
Se (0.2649, 0.5000, 0.2688) x2  2 Mn 2.79, 1 Tb 2.89, 3 Ca 2.93-2.99

Results
Calculated total energy, eV/atom: -5.4945


5.
Computed, not measured: Ca3Tb3MnSe8 after structural relaxation at the PBE level of DFT.

a b c (Å): 8.1877 8.1877 20.4898
angles (deg): 90.00 90.00 120.00
With the nearest neighbours (Å) after each atom.
Space group R-3m (No. 166, hexagonal axes)
Asymmetric unit:
Ca (0.0000, 0.5000, 0.0000) x9  6 Se 2.93-2.95
Tb (0.0000, 0.5000, 0.5000) x9  6 Se 2.88-2.90
Mn (0.0000, 0.0000, 0.5000) x3  6 Se 2.80
Se (0.0000, 0.0000, 0.2485) x6  3 Tb 2.90, 3 Ca 2.93
Se (0.0094, 0.5047, 0.2447) x18  1 Mn 2.80, 2 Tb 2.88, 2 Ca 2.95

Results
Calculated total energy, eV/atom: -5.5057


6.
Computed, not measured: Ca3Y3MnSe8 after structural relaxation at the PBE level of DFT.

a b c (Å): 8.1732 8.1732 20.4720
angles (deg): 90.00 90.00 120.00
With the nearest neighbours (Å) after each atom.
Space group R-3m (No. 166, hexagonal axes)
Asymmetric unit:
Ca (0.0000, 0.5000, 0.0000) x9  6 Se 2.93-2.95
Y (0.0000, 0.5000, 0.5000) x9  6 Se 2.87-2.89
Mn (0.0000, 0.0000, 0.5000) x3  6 Se 2.79
Se (0.0000, 0.0000, 0.2483) x6  3 Y 2.89, 3 Ca 2.93
Se (0.0090, 0.5045, 0.2446) x18  1 Mn 2.79, 2 Y 2.87, 2 Ca 2.95

Results
Calculated total energy, eV/atom: -5.8764


7.
Computed, not measured: Ca2YMnSe4 after structural relaxation at the PBE level of DFT.

a b c (Å): 7.0620 4.0853 7.1366
angles (deg): 90.00 109.78 90.00
With the nearest neighbours (Å) after each atom.
Space group P2/m (No. 10)
Asymmetric unit:
Ca (0.0000, 0.0000, 0.0000) x1  6 Se 2.96-2.99
Ca (0.5000, 0.5000, 0.0000) x1  6 Se 2.91-2.93
Y (0.0000, 0.5000, 0.5000) x1  6 Se 2.87-2.88
Mn (0.5000, 0.0000, 0.5000) x1  6 Se 2.79-2.84
Se (0.2523, 0.0000, 0.7421) x2  1 Mn 2.84, 2 Y 2.87, 3 Ca 2.91-2.96
Se (0.2646, 0.5000, 0.2691) x2  2 Mn 2.79, 1 Y 2.88, 3 Ca 2.93-2.99

Results
Calculated total energy, eV/atom: -5.7265


8.
Computed, not measured: CaMnZnSe2 after structural relaxation at the PBE level of DFT.

a b c (Å): 5.0290 5.0290 4.6322
angles (deg): 90.00 90.00 90.00
With the nearest neighbours (Å) after each atom.
Space group P4/mmm (No. 123)
Asymmetric unit:
Ca (0.0000, 0.0000, 0.0000) x1  8 Se 3.42, 4 Zn 3.56
Mn (0.5000, 0.5000, 0.5000) x1  2 Zn 2.32, 4 Se 2.51
Zn (0.5000, 0.5000, 0.0000) x1  2 Mn 2.32
Se (0.0000, 0.5000, 0.5000) x2  2 Mn 2.51

Results
Calculated total energy, eV/atom: -4.3923


9.
Computed, not measured: CaMn2Si after structural relaxation at the PBE level of DFT.

a b c (Å): 4.0354 3.2750 11.2732
angles (deg): 90.00 90.00 90.00
With the nearest neighbours (Å) after each atom.
Space group Amm2 (No. 38)
Asymmetric unit:
Ca (0.0000, 0.0000, 0.0000) x2  3 Mn 2.89-3.19, 4 Si 3.04
Mn (0.0000, 0.0000, 0.2567) x2  2 Si 2.33
Mn (0.5000, 0.0000, 0.6984) x2  2 Si 2.45, 4 Mn 2.68
Si (0.5000, 0.0000, 0.3604) x2  4 Mn 2.33-2.45

Results
Calculated total energy, eV/atom: -6.2831


10.
Computed, not measured: CaMn2Si after structural relaxation at the PBE level of DFT.

a b c (Å): 3.0696 3.0696 7.0765
angles (deg): 90.00 90.00 90.00
With the nearest neighbours (Å) after each atom.
Space group P4/mmm (No. 123)
Asymmetric unit:
Ca (0.0000, 0.0000, 0.0000) x1  4 Ca 3.07, 8 Mn 3.16
Mn (0.5000, 0.5000, 0.3248) x2  1 Mn 2.48, 4 Si 2.50
Si (0.0000, 0.0000, 0.5000) x1  8 Mn 2.50

Results
Calculated total energy, eV/atom: -6.2358


11.
Computed, not measured: CaMn2Si after structural relaxation at the PBE level of DFT.

a b c (Å): 4.0994 4.0994 15.5945
angles (deg): 90.00 90.00 120.00
With the nearest neighbours (Å) after each atom.
Space group R-3m (No. 166, hexagonal axes)
Asymmetric unit:
Ca (0.0000, 0.0000, 0.0000) x3  8 Mn 3.08-3.18
Mn (0.0000, 0.0000, 0.1973) x6  3 Si 2.41, 3 Mn 2.55
Si (0.0000, 0.0000, 0.5000) x3  6 Mn 2.41

Results
Calculated total energy, eV/atom: -6.4463


12.
Computed, not measured: CaMnSi after structural relaxation at the PBE level of DFT.

a b c (Å): 4.1903 4.1903 4.2711
angles (deg): 90.00 90.00 120.00
With the nearest neighbours (Å) after each atom.
Space group P-6m2 (No. 187)
Asymmetric unit:
Ca (0.0000, 0.0000, 0.0000) x1  6 Mn 3.23, 6 Si 3.23
Mn (0.6667, 0.3333, 0.5000) x1  3 Si 2.42
Si (0.3333, 0.6667, 0.5000) x1  3 Mn 2.42

Results
Calculated total energy, eV/atom: -5.6410


13.
Computed, not measured: CaMn2Si after structural relaxation at the PBE level of DFT.

a b c (Å): 4.0225 4.0225 15.7461
angles (deg): 90.00 90.00 120.00
With the nearest neighbours (Å) after each atom.
Space group R3m (No. 160, hexagonal axes)
Asymmetric unit:
Ca (0.0000, 0.0000, 0.0000) x3  4 Mn 3.03-3.21, 4 Si 3.05-3.20
Mn (0.0000, 0.0000, 0.4984) x3  3 Mn 2.35, 3 Si 2.36
Mn (0.0000, 0.0000, 0.8075) x3  3 Mn 2.35, 3 Si 2.47
Si (0.0000, 0.0000, 0.1934) x3  6 Mn 2.36-2.47

Results
Calculated total energy, eV/atom: -6.5880


14.
Computed, not measured: Ca2MnSi after structural relaxation at the PBE level of DFT.

a b c (Å): 7.2591 4.1903 7.7795
angles (deg): 90.00 107.99 90.00
With the nearest neighbours (Å) after each atom.
Space group Cm (No. 8)
Asymmetric unit:
Ca (0.0000, 0.0000, 0.0000) x2  3 Mn 3.12, 3 Si 3.15
Ca (0.1780, 0.0000, 0.5371) x2  3 Si 3.11, 3 Mn 3.14
Mn (0.4218, 0.0000, 0.2667) x2  3 Si 2.42
Si (0.2569, 0.5000, 0.2722) x2  3 Mn 2.42

Results
Calculated total energy, eV/atom: -4.7756